Ac2P2Pt3 after structural relaxation, computed with PBE.

Cell and atoms, written as POSCAR:
```
Ac2P2Pt3
1.0
5.3031 -2.2300 0.0000
5.3031 2.2300 0.0000
-1.2896 0.0000 6.5427
Ac P Pt
2 2 3
Cartesian
0.9193 0.0000 1.8623
8.3972 0.0000 4.6804
0.9426 0.0000 5.3827
8.3740 0.0000 1.1600
3.9189 0.0000 0.6584
4.6583 0.0000 3.2714
5.3977 0.0000 5.8843
```

## Properties
- electronic total energy (eV per atom) = -6.34
- SG = C2/m, No. 12


AcPPt after structural relaxation, computed with PBE.

Cell and atoms, written as POSCAR:
```
AcPPt
1.0
4.5360 -4.2107 0.0000
4.5360 4.2107 0.0000
-2.0030 0.0000 3.7663
Ac P Pt
2 2 2
Cartesian
4.5360 2.1361 0.0000
4.5360 -2.1361 0.0000
0.4110 0.0000 2.6299
6.6580 0.0000 1.1364
2.3039 0.0000 1.2213
4.7650 0.0000 2.5451
```

## Properties
- excess energy over the best structure of this formula in the dataset (meV/atom) = 111
- SG = C2/m, No. 12


Ac2PPt6 after structural relaxation, computed with PBE.

Cell and atoms, written as POSCAR:
```
Ac2PPt6
1.0
5.0603 -2.9252 0.0000
5.0603 2.9252 0.0000
-1.5244 0.0000 6.0264
Ac P Pt
2 1 6
Cartesian
0.8570 0.0000 2.0284
7.7393 0.0000 3.9980
4.2982 0.0000 3.0132
3.3643 1.4555 1.1476
2.6457 0.0000 4.8137
5.2321 1.4555 4.8788
3.3643 -1.4555 1.1476
5.9506 0.0000 1.2128
5.2321 -1.4555 4.8788
```

## Properties
- electronic total energy (eV per atom) = -6.40
- SG = C2/m, No. 12


Ac2PPt after structural relaxation, computed with PBE.

Cell and atoms, written as POSCAR:
```
Ac2PPt
1.0
3.7976 0.0000 0.0000
0.0000 3.7976 0.0000
0.0000 0.0000 7.4417
Ac P Pt
2 1 1
Cartesian
0.0000 0.0000 1.8144
0.0000 0.0000 5.6274
1.8988 1.8988 0.0000
1.8988 1.8988 3.7209
```

## Properties
- excess energy over the best structure of this formula in the dataset (meV/atom) = 247
- SG = P4/mmm, No. 123